(1)
A plane-wave DFT calculation with GGA-PBE was carried out for a relaxed Pr4HgPt2 crystal.

```
Pr4HgPt2
1.0
2.419 1.396 10.310
-2.419 1.396 10.310
0.000 -2.793 10.310
Pr Hg Pt
4 1 2
direct
0.113 0.113 0.113
0.299 0.299 0.299
0.701 0.701 0.701
0.887 0.887 0.887
0.500 0.500 0.500
0.401 0.401 0.401
0.599 0.599 0.599
```

Summary:
Space-group type: R-3m, No. 166
DOS at the Fermi energy, states/eV/atom: 0.858
Spin magnetization, μB/f.u.: 0.00
Energy of formation from the pure elements, eV/atom: -0.682



(2)
A plane-wave DFT calculation with GGA-PBE was carried out for a relaxed Pr8Hg2Pt crystal.

```
Pr8Hg2Pt
1.0
4.195 -8.359 0.000
4.195 8.359 0.000
-3.994 0.000 5.007
Pr Hg Pt
8 2 1
direct
0.000 0.000 0.000
0.021 0.770 0.332
0.314 0.535 0.675
0.380 0.997 0.015
0.524 0.524 0.272
0.535 0.314 0.675
0.770 0.021 0.332
0.997 0.380 0.015
0.474 0.898 0.546
0.898 0.474 0.546
0.158 0.158 0.703
```

Summary:
Space-group type: Cm, No. 8
ΔE to the lowest computed polymorph, eV/atom: 0.036
DOS at the Fermi energy, states/eV/atom: 1.233
Spin magnetization, μB/f.u.: 0.00
Energy of formation from the pure elements, eV/atom: -0.311



(3)
A plane-wave DFT calculation with GGA-PBE was carried out for a relaxed Pr5HgPt2 crystal.

```
Pr5HgPt2
1.0
2.879 -6.314 0.000
2.879 6.314 0.000
0.000 0.000 14.213
Pr Hg Pt
10 2 4
direct
0.056 0.944 0.626
0.056 0.944 0.874
0.237 0.763 0.250
0.357 0.643 0.564
0.357 0.643 0.936
0.643 0.357 0.064
0.643 0.357 0.436
0.763 0.237 0.750
0.944 0.056 0.126
0.944 0.056 0.374
0.489 0.511 0.250
0.511 0.489 0.750
0.163 0.837 0.055
0.163 0.837 0.445
0.837 0.163 0.555
0.837 0.163 0.945
```

Summary:
Space-group type: Cmcm, No. 63
ΔE to the lowest computed polymorph, eV/atom: 0.117
DOS at the Fermi energy, states/eV/atom: 1.198
Spin magnetization, μB/f.u.: 0.00
Energy of formation from the pure elements, eV/atom: -0.586



(4)
A plane-wave DFT calculation with GGA-PBE was carried out for a relaxed Pr8Hg2Pt crystal.

```
Pr8Hg2Pt
1.0
9.411 -2.644 0.000
9.411 2.644 0.000
-1.364 0.000 6.966
Pr Hg Pt
8 2 1
direct
0.021 0.021 0.275
0.204 0.204 0.819
0.346 0.346 0.528
0.411 0.411 0.053
0.589 0.589 0.947
0.654 0.654 0.472
0.796 0.796 0.181
0.979 0.979 0.725
0.189 0.189 0.246
0.811 0.811 0.754
0.500 0.500 0.500
```

Summary:
Space-group type: C2/m, No. 12
ΔE to the lowest computed polymorph, eV/atom: 0.000
DOS at the Fermi energy, states/eV/atom: 0.983
Spin magnetization, μB/f.u.: 0.00
Energy of formation from the pure elements, eV/atom: -0.347



(5)
A plane-wave DFT calculation with GGA-PBE was carried out for a relaxed Pr2Hg2Pt15 crystal.

```
Pr2Hg2Pt15
1.0
4.729 2.730 4.486
-4.729 2.730 4.486
0.000 -5.461 4.486
Pr Hg Pt
2 2 15
direct
0.150 0.150 0.150
0.850 0.850 0.850
0.396 0.396 0.396
0.604 0.604 0.604
0.000 0.500 0.500
0.156 0.156 0.666
0.156 0.666 0.156
0.182 0.500 0.818
0.182 0.818 0.500
0.334 0.844 0.844
0.500 0.000 0.500
0.500 0.182 0.818
0.500 0.500 0.000
0.500 0.818 0.182
0.666 0.156 0.156
0.818 0.182 0.500
0.818 0.500 0.182
0.844 0.334 0.844
0.844 0.844 0.334
```

Summary:
Space-group type: R-3m, No. 166
DOS at the Fermi energy, states/eV/atom: 0.765
Spin magnetization, μB/f.u.: 0.00
Energy of formation from the pure elements, eV/atom: -0.419



(6)
A plane-wave DFT calculation with GGA-PBE was carried out for a relaxed Pr6HgPt2 crystal.

```
Pr6HgPt2
1.0
-4.852 5.124 5.427
4.852 -5.124 5.427
4.852 5.124 -5.427
Pr Hg Pt
12 2 4
direct
0.040 0.236 0.804
0.179 0.289 0.468
0.179 0.711 0.890
0.330 0.026 0.696
0.330 0.634 0.304
0.432 0.236 0.196
0.568 0.764 0.804
0.670 0.366 0.696
0.670 0.974 0.304
0.821 0.289 0.110
0.821 0.711 0.532
0.960 0.764 0.196
0.000 0.000 0.000
0.500 0.500 0.000
0.131 0.631 0.500
0.345 0.000 0.345
0.655 0.000 0.655
0.869 0.369 0.500
```

Summary:
Space-group type: Immm, No. 71
ΔE to the lowest computed polymorph, eV/atom: 0.000
DOS at the Fermi energy, states/eV/atom: 1.032
Spin magnetization, μB/f.u.: 0.00
Energy of formation from the pure elements, eV/atom: -0.617



(7)
A plane-wave DFT calculation with GGA-PBE was carried out for a relaxed Pr6Hg5Pt crystal.

```
Pr6Hg5Pt
1.0
-2.691 3.854 8.079
2.691 -3.854 8.079
2.691 3.854 -8.079
Pr Hg Pt
6 5 1
direct
0.079 0.342 0.737
0.230 0.000 0.230
0.394 0.658 0.737
0.606 0.342 0.263
0.770 0.000 0.770
0.921 0.658 0.263
0.184 0.184 0.000
0.333 0.833 0.500
0.500 0.500 0.000
0.667 0.167 0.500
0.816 0.816 0.000
0.000 0.500 0.500
```

Summary:
Space-group type: Immm, No. 71
DOS at the Fermi energy, states/eV/atom: 0.966
Spin magnetization, μB/f.u.: 0.00
Energy of formation from the pure elements, eV/atom: -0.563



(8)
A plane-wave DFT calculation with GGA-PBE was carried out for a relaxed PrHgPt crystal.

```
PrHgPt
1.0
13.577 0.000 0.000
0.000 4.018 0.000
0.000 0.000 7.904
Pr Hg Pt
6 6 6
direct
0.051 0.000 0.234
0.250 0.000 0.831
0.449 0.000 0.234
0.551 0.000 0.766
0.750 0.000 0.169
0.949 0.000 0.766
0.112 0.500 0.566
0.250 0.500 0.183
0.388 0.500 0.566
0.612 0.500 0.434
0.750 0.500 0.817
0.888 0.500 0.434
0.094 0.500 0.933
0.250 0.000 0.441
0.406 0.500 0.933
0.594 0.500 0.067
0.750 0.000 0.559
0.906 0.500 0.067
```

Summary:
Space-group type: Pmma, No. 51
DOS at the Fermi energy, states/eV/atom: 0.689
Spin magnetization, μB/f.u.: 0.00
Energy of formation from the pure elements, eV/atom: -0.789



(9)
A plane-wave DFT calculation with GGA-PBE was carried out for a relaxed Pr4Hg2Pt crystal.

```
Pr4Hg2Pt
1.0
8.563 -2.036 0.000
8.563 2.036 0.000
-2.559 0.000 6.390
Pr Hg Pt
4 2 1
direct
0.094 0.094 0.444
0.384 0.384 0.045
0.616 0.616 0.955
0.906 0.906 0.556
0.255 0.255 0.303
0.745 0.745 0.697
0.000 0.000 0.000
```

Summary:
Space-group type: C2/m, No. 12
DOS at the Fermi energy, states/eV/atom: 0.879
Spin magnetization, μB/f.u.: 0.00
Energy of formation from the pure elements, eV/atom: -0.482



(10)
A plane-wave DFT calculation with GGA-PBE was carried out for a relaxed Pr3HgPt crystal.

```
Pr3HgPt
1.0
9.382 0.000 0.000
0.000 8.751 0.000
-0.861 0.000 7.128
Pr Hg Pt
12 4 4
direct
0.103 0.213 0.034
0.103 0.287 0.534
0.219 0.615 0.823
0.219 0.885 0.323
0.373 0.517 0.309
0.373 0.983 0.809
0.627 0.017 0.191
0.627 0.483 0.691
0.781 0.115 0.677
0.781 0.385 0.177
0.897 0.713 0.466
0.897 0.787 0.966
0.443 0.189 0.459
0.443 0.311 0.959
0.557 0.689 0.041
0.557 0.811 0.541
0.071 0.551 0.194
0.071 0.949 0.694
0.929 0.051 0.306
0.929 0.449 0.806
```

Summary:
Space-group type: P2_1/c, No. 14
DOS at the Fermi energy, states/eV/atom: 0.803
Spin magnetization, μB/f.u.: 0.00
Energy of formation from the pure elements, eV/atom: -0.602



(11)
A plane-wave DFT calculation with GGA-PBE was carried out for a relaxed Pr7Hg2Pt2 crystal.

```
Pr7Hg2Pt2
1.0
4.191 -5.716 0.000
4.191 5.716 0.000
0.000 0.000 7.404
Pr Hg Pt
7 2 2
direct
0.000 0.000 0.000
0.000 0.500 0.258
0.000 0.500 0.742
0.500 0.000 0.258
0.500 0.000 0.742
0.500 0.500 0.251
0.500 0.500 0.749
0.175 0.175 0.500
0.825 0.825 0.500
0.289 0.711 0.000
0.711 0.289 0.000
```

Summary:
Space-group type: Cmmm, No. 65
DOS at the Fermi energy, states/eV/atom: 1.003
Spin magnetization, μB/f.u.: 0.00
Energy of formation from the pure elements, eV/atom: -0.471



(12)
A plane-wave DFT calculation with GGA-PBE was carried out for a relaxed PrHgPt crystal.

```
PrHgPt
1.0
0.000 3.428 3.428
3.428 0.000 3.428
3.428 3.428 0.000
Pr Hg Pt
1 1 1
direct
0.000 0.000 0.000
0.500 0.500 0.500
0.750 0.750 0.750
```

Summary:
Space-group type: F-43m, No. 216
DOS at the Fermi energy, states/eV/atom: 0.826
Spin magnetization, μB/f.u.: 0.00
Energy of formation from the pure elements, eV/atom: -0.715



(13)
A plane-wave DFT calculation with GGA-PBE was carried out for a relaxed PrHgPt2 crystal.

```
PrHgPt2
1.0
4.685 0.000 0.000
0.000 4.685 0.000
0.000 0.000 3.839
Pr Hg Pt
1 1 2
direct
0.000 0.000 0.000
0.500 0.500 0.000
0.000 0.500 0.500
0.500 0.000 0.500
```

Summary:
Space-group type: P4/mmm, No. 123
DOS at the Fermi energy, states/eV/atom: 0.580
Spin magnetization, μB/f.u.: 0.00
Energy of formation from the pure elements, eV/atom: -0.551



(14)
A plane-wave DFT calculation with GGA-PBE was carried out for a relaxed Pr5Hg4Pt crystal.

```
Pr5Hg4Pt
1.0
3.805 0.000 0.000
0.000 3.805 0.000
0.000 0.000 19.237
Pr Hg Pt
5 4 1
direct
0.000 0.000 0.000
0.000 0.000 0.206
0.000 0.000 0.413
0.000 0.000 0.587
0.000 0.000 0.794
0.500 0.500 0.103
0.500 0.500 0.305
0.500 0.500 0.695
0.500 0.500 0.897
0.500 0.500 0.500
```

Summary:
Space-group type: P4/mmm, No. 123
DOS at the Fermi energy, states/eV/atom: 1.000
Spin magnetization, μB/f.u.: 0.91
Energy of formation from the pure elements, eV/atom: -0.580



(15)
A plane-wave DFT calculation with GGA-PBE was carried out for a relaxed Pr5HgPt2 crystal.

```
Pr5HgPt2
1.0
-4.093 4.093 6.853
4.093 -4.093 6.853
4.093 4.093 -6.853
Pr Hg Pt
10 2 4
direct
0.000 0.000 0.000
0.022 0.522 0.822
0.200 0.022 0.500
0.300 0.800 0.822
0.478 0.300 0.500
0.500 0.500 0.000
0.522 0.700 0.500
0.700 0.200 0.178
0.800 0.978 0.500
0.978 0.478 0.178
0.250 0.250 0.000
0.750 0.750 0.000
0.132 0.368 0.500
0.368 0.868 0.235
0.632 0.132 0.765
0.868 0.632 0.500
```

Summary:
Space-group type: I4/mcm, No. 140
ΔE to the lowest computed polymorph, eV/atom: 0.000
DOS at the Fermi energy, states/eV/atom: 1.073
Spin magnetization, μB/f.u.: 0.00
Energy of formation from the pure elements, eV/atom: -0.703



(16)
A plane-wave DFT calculation with GGA-PBE was carried out for a relaxed Pr12HgPt6 crystal.

```
Pr12HgPt6
1.0
-5.204 5.204 5.204
5.204 -5.204 5.204
5.204 5.204 -5.204
Pr Hg Pt
12 1 6
direct
0.122 0.303 0.820
0.180 0.483 0.303
0.180 0.878 0.697
0.303 0.180 0.483
0.303 0.820 0.122
0.483 0.303 0.180
0.517 0.697 0.820
0.697 0.180 0.878
0.697 0.820 0.517
0.820 0.122 0.303
0.820 0.517 0.697
0.878 0.697 0.180
0.000 0.000 0.000
0.134 0.500 0.634
0.366 0.866 0.500
0.500 0.366 0.866
0.500 0.634 0.134
0.634 0.134 0.500
0.866 0.500 0.366
```

Summary:
Space-group type: Im-3, No. 204
DOS at the Fermi energy, states/eV/atom: 0.942
Spin magnetization, μB/f.u.: 0.00
Energy of formation from the pure elements, eV/atom: -0.724



(17)
A plane-wave DFT calculation with GGA-PBE was carried out for a relaxed Pr2Hg3Pt crystal.

```
Pr2Hg3Pt
1.0
3.644 0.000 0.000
0.000 4.907 0.000
0.000 0.000 8.559
Pr Hg Pt
2 3 1
direct
0.000 0.000 0.000
0.000 0.500 0.436
0.500 0.000 0.619
0.500 0.500 0.126
0.500 0.500 0.790
0.500 0.000 0.289
```

Summary:
Space-group type: Pmm2, No. 25
DOS at the Fermi energy, states/eV/atom: 0.590
Spin magnetization, μB/f.u.: 0.00
Energy of formation from the pure elements, eV/atom: -0.588



(18)
A plane-wave DFT calculation with GGA-PBE was carried out for a relaxed PrPu2HgPt2 crystal.

```
PrPu2HgPt2
1.0
5.117 0.000 0.000
-2.558 4.431 0.000
0.000 0.000 6.271
Pr Pu Hg Pt
1 2 1 2
direct
0.000 0.000 0.000
0.333 0.667 0.712
0.667 0.333 0.288
0.000 0.000 0.500
0.333 0.667 0.223
0.667 0.333 0.777
```

Summary:
Space-group type: P-3m1, No. 164
DOS at the Fermi energy, states/eV/atom: 3.620
Spin magnetization, μB/f.u.: 11.30
Energy of formation from the pure elements, eV/atom: -0.597



(19)
A plane-wave DFT calculation with GGA-PBE was carried out for a relaxed PrPuHgPt crystal.

```
PrPuHgPt
1.0
0.000 3.691 3.691
3.691 0.000 3.691
3.691 3.691 0.000
Pr Pu Hg Pt
1 1 1 1
direct
0.000 0.000 0.000
0.500 0.500 0.500
0.250 0.250 0.250
0.750 0.750 0.750
```

Summary:
Space-group type: F-43m, No. 216
DOS at the Fermi energy, states/eV/atom: 2.533
Spin magnetization, μB/f.u.: 5.81
Energy of formation from the pure elements, eV/atom: -0.516



(20)
A plane-wave DFT calculation with GGA-PBE was carried out for a relaxed Pr5Hg2PtRh2 crystal.

```
Pr5Hg2PtRh2
1.0
11.884 0.000 0.000
0.000 11.884 0.000
0.000 0.000 3.782
Pr Hg Pt Rh
10 4 2 4
direct
0.000 0.500 0.000
0.084 0.193 0.000
0.193 0.916 0.000
0.307 0.416 0.000
0.416 0.693 0.000
0.500 0.000 0.000
0.584 0.307 0.000
0.693 0.584 0.000
0.807 0.084 0.000
0.916 0.807 0.000
0.172 0.672 0.500
0.328 0.172 0.500
0.672 0.828 0.500
0.828 0.328 0.500
0.000 0.000 0.500
0.500 0.500 0.500
0.133 0.367 0.500
0.367 0.867 0.500
0.633 0.133 0.500
0.867 0.633 0.500
```

Summary:
Space-group type: P4/mbm, No. 127
DOS at the Fermi energy, states/eV/atom: 0.814
Spin magnetization, μB/f.u.: 0.00
Energy of formation from the pure elements, eV/atom: -0.599